# 1
The following is a PBE-GGA calculation of an optimized crystal structure of Na2Sr3Zn, from the Alexandria database.

Properties
space group = No. 63
ΔH_f (0 K) = -0.01 eV/atom

a b c (Å): 10.2381 10.2381 8.6174
angles (deg): 90.00 90.00 35.51
With the nearest neighbours (Å) after each atom.
Sites, in units of the cell vectors:
Na1 0.1987 0.2011 0.2500  2 Na 3.68, 7 Sr 3.90-4.09
Na2 0.2011 0.1987 0.7500  2 Na 3.68, 7 Sr 3.90-4.09
Na3 0.7989 0.8013 0.2500  2 Na 3.68, 7 Sr 3.90-4.09
Na4 0.8013 0.7989 0.7500  2 Na 3.68, 7 Sr 3.90-4.09
Sr1 0.0024 0.9976 0.2500  2 Zn 3.12
Sr2 0.3776 0.3776 0.0000  2 Zn 3.22
Sr3 0.3776 0.3776 0.5000  2 Zn 3.22
Sr4 0.6224 0.6224 0.0000  2 Zn 3.22
Sr5 0.6224 0.6224 0.5000  2 Zn 3.22
Sr6 0.9976 0.0024 0.7500  2 Zn 3.12
Zn1 0.4973 0.5027 0.7500  6 Sr 3.12-3.22
Zn2 0.5027 0.4973 0.2500  6 Sr 3.12-3.22

# 2
The following is a PBE-GGA calculation of an optimized crystal structure of NaSrZn, from the Alexandria database.

Properties
E above lowest polymorph = 0.122 eV per atom
space group = No. 107
ΔH_f (0 K) = -0.01 eV/atom

a b c (Å): 3.9560 3.9560 12.4432
angles (deg): 90.00 90.00 90.00
With the nearest neighbours (Å) after each atom.
Sites, in units of the cell vectors:
Na1 0.0000 0.0000 0.0000  4 Zn 3.26, 1 Sr 3.49
Na2 0.5000 0.5000 0.5000  4 Zn 3.26, 1 Sr 3.49
Sr1 0.0000 0.0000 0.7192  4 Zn 3.34, 1 Na 3.49
Sr2 0.5000 0.5000 0.2192  4 Zn 3.34, 1 Na 3.49
Zn1 0.0000 0.0000 0.3652  4 Na 3.26, 4 Sr 3.34
Zn2 0.5000 0.5000 0.8652  4 Na 3.26, 4 Sr 3.34

| no. | VASP energy (eV per atom) |
| --- | --- |
| 1 | -1.508 |
| 2 | -1.432 |